# Mn2HgBr4 GGA-PBE relaxed
data_Mn2HgBr4
_chemical_formula_sum 'Mn8 Hg4 Br16'
_cell_length_a 7.540
_cell_length_b 14.317
_cell_length_c 9.271
_cell_angle_alpha 90.00
_cell_angle_beta 113.93
_cell_angle_gamma 90.00
_symmetry_space_group_name_H-M 'C 1 c 1'
_symmetry_Int_Tables_number 9
loop_
_symmetry_equiv_pos_as_xyz
'x,y,z'
'x,-y,z+1/2'
'x+1/2,y+1/2,z'
'x+1/2,-y+1/2,z+1/2'
loop_
_atom_site_label
_atom_site_type_symbol
_atom_site_fract_x
_atom_site_fract_y
_atom_site_fract_z
_atom_site_occupancy
Mn1 Mn 0.000 0.011 0.000 1
Mn2 Mn 0.178 0.261 0.854 1
Hg1 Hg 0.345 0.125 0.677 1
Br1 Br 0.105 0.061 0.293 1
Br2 Br 0.187 0.427 0.957 1
Br3 Br 0.407 0.323 0.397 1
Br4 Br 0.489 0.189 0.061 1
# Calculated density: 4.57 g/cm3
# E_form (uncorrected): -0.565 eV per atom
# Spin magnetization: 40.0 μB/cell


# RbSb3H GGA-PBE relaxed
data_RbSb3H
_chemical_formula_sum 'Rb1 Sb3 H1'
_cell_length_a 5.002
_cell_length_b 5.002
_cell_length_c 5.002
_cell_angle_alpha 90.00
_cell_angle_beta 90.00
_cell_angle_gamma 90.00
_symmetry_space_group_name_H-M 'P m -3 m'
_symmetry_Int_Tables_number 221
_symmetry_space_group_name_Hall '-P 4 2 3'
loop_
_atom_site_label
_atom_site_type_symbol
_atom_site_fract_x
_atom_site_fract_y
_atom_site_fract_z
_atom_site_occupancy
Rb1 Rb 0.000 0.000 0.000 1
Sb1 Sb 0.000 0.500 0.500 1
H1 H 0.500 0.500 0.500 1
# Calculated density: 6.00 g/cm3
# DFT total energy: -3.09 eV/atom
# Spin magnetization: 0.0 μB/cell


# Sm6Dy2YEr GGA-PBE relaxed
data_Sm6Dy2YEr
_chemical_formula_sum 'Sm24 Dy8 Y4 Er4'
_cell_length_a 9.146
_cell_length_b 15.264
_cell_length_c 9.618
_cell_angle_alpha 90.00
_cell_angle_beta 97.46
_cell_angle_gamma 90.00
_symmetry_space_group_name_H-M 'C 1 2/c 1'
_symmetry_Int_Tables_number 15
loop_
_symmetry_equiv_pos_as_xyz
'x,y,z'
'-x,-y,-z'
'-x,y,-z+1/2'
'x,-y,z+1/2'
'x+1/2,y+1/2,z'
'-x+1/2,-y+1/2,-z'
'-x+1/2,y+1/2,-z+1/2'
'x+1/2,-y+1/2,z+1/2'
loop_
_atom_site_label
_atom_site_type_symbol
_atom_site_fract_x
_atom_site_fract_y
_atom_site_fract_z
_atom_site_occupancy
Sm1 Sm 0.060 0.183 0.446 1
Sm2 Sm 0.103 0.393 0.619 1
Sm3 Sm 0.209 0.224 0.813 1
Dy1 Dy 0.249 0.448 0.956 1
Y1 Y 0.000 0.024 0.750 1
Er1 Er 0.000 0.410 0.250 1
# Calculated density: 7.40 g/cm3
# DFT total energy: -4.74 eV/atom
# Spin magnetization: 0.0 μB/cell